# Y15Ho4Sc | Alexandria | PBE | relaxed
data_Y15Ho4Sc
_chemical_formula_sum 'Y15 Ho4 Sc1'
_cell_length_a 5.019
_cell_length_b 5.019
_cell_length_c 25.072
_cell_angle_alpha 90.00
_cell_angle_beta 90.00
_cell_angle_gamma 90.00
_symmetry_space_group_name_H-M 'P 4/m m m'
_symmetry_Int_Tables_number 123
_symmetry_space_group_name_Hall '-P 4 2'
loop_
_atom_site_label
_atom_site_type_symbol
_atom_site_fract_x
_atom_site_fract_y
_atom_site_fract_z
Y1 Y 0.000 0.000 0.000
Y2 Y 0.000 0.000 0.198
Y3 Y 0.000 0.000 0.399
Y4 Y 0.000 0.500 0.097
Y5 Y 0.000 0.500 0.299
Y6 Y 0.000 0.500 0.500
Ho1 Ho 0.500 0.500 0.198
Ho2 Ho 0.500 0.500 0.399
Sc1 Sc 0.500 0.500 0.000
# **Mass density**: 5.36 g/cm3
# **Crystal system**: tetragonal
# **ΔE_f**: 0.6 eV per formula unit